Crystalline SnBiRh2 at its relaxed geometry. Source: Alexandria, functional GGA-PBE.

Calculated values
* DOS(E_F): 0.8348 states/eV/atom
* volume: 20.90 Å³ per atom
* formation enthalpy at 0 K: -0.11 eV/atom
* total energy: -23.03 eV per cell

extended XYZ file:
```
4
Lattice="-3.139 -1.828 2.024 0.744 -3.235 2.504 -0.064 1.804 5.802" Properties=species:S:1:pos:R:3 pbc="T T T"
Rh -0.641 -0.941 2.428
Rh -0.220 1.063 4.891
Sn -1.676 -1.642 8.734
Bi -1.216 -1.564 5.246
```

Crystalline SnBi2Rh3 at its relaxed geometry. Source: Alexandria, functional GGA-PBE.

Calculated values
* DOS(E_F): 0.6272 states/eV/atom
* volume: 20.84 Å³ per atom
* formation enthalpy at 0 K: -0.28 eV/atom
* total energy: -70.96 eV per cell

extended XYZ file:
```
12
Lattice="5.736 0.000 0.000 0.000 7.074 -0.300 0.000 -3.228 6.302" Properties=species:S:1:pos:R:3 pbc="T T T"
Bi 1.261 0.840 5.108
Bi 1.261 4.290 2.898
Bi 4.129 3.005 0.893
Bi 4.129 -0.444 3.103
Rh 2.693 5.431 0.755
Rh 2.694 1.922 2.999
Rh 2.693 -1.583 5.249
Rh 5.561 5.429 0.752
Rh 5.562 1.924 3.003
Rh 5.561 -1.585 5.247
Sn 1.258 0.657 1.025
Sn 4.126 3.189 4.976
```

Crystalline SnBiRh2 at its relaxed geometry. Source: Alexandria, functional GGA-PBE.

Calculated values
* DOS(E_F): 0.4217 states/eV/atom
* volume: 20.02 Å³ per atom
* formation enthalpy at 0 K: -0.34 eV/atom
* total energy: -95.78 eV per cell

extended XYZ file:
```
16
Lattice="-5.765 -1.446 -0.112 1.524 -6.229 1.971 -0.715 2.254 7.675" Properties=species:S:1:pos:R:3 pbc="T T T"
Rh -2.672 -1.694 3.469
Rh 1.067 -4.647 2.595
Rh -1.946 -4.835 2.370
Rh -6.024 -0.774 6.939
Rh -3.010 -0.586 7.165
Rh 0.738 -3.576 6.303
Rh -2.285 -3.728 6.066
Rh -5.694 -1.846 3.232
Bi -4.306 -2.879 7.775
Bi -0.650 -2.543 1.760
Bi -4.011 -1.311 1.085
Bi -0.945 -4.111 8.450
Sn -0.967 -1.468 5.566
Sn -4.350 -0.146 4.863
Sn -3.989 -3.954 3.969
Sn -0.606 -5.276 4.672
```

Crystalline SnBiRh2 at its relaxed geometry. Source: Alexandria, functional GGA-PBE.

Calculated values
* DOS(E_F): 0.9580 states/eV/atom
* volume: 19.08 Å³ per atom
* formation enthalpy at 0 K: -0.20 eV/atom
* total energy: -23.37 eV per cell

extended XYZ file:
```
4
Lattice="-3.160 -0.309 -0.773 -0.722 -0.496 3.148 -0.907 7.031 0.899" Properties=species:S:1:pos:R:3 pbc="T T T"
Rh -0.190 1.473 0.188
Rh -0.717 5.558 0.711
Bi -2.395 3.113 1.637
Sn -1.941 -0.402 1.188
```

Crystalline SrSnBiRh2 at its relaxed geometry. Source: Alexandria, functional GGA-PBE.

Calculated values
* DOS(E_F): 1.4798 states/eV/atom
* volume: 30.11 Å³ per atom
* formation enthalpy at 0 K: 1.27 eV/atom
* total energy: -17.90 eV per cell

extended XYZ file:
```
5
Lattice="4.986 0.000 0.000 0.000 6.054 0.000 0.000 0.000 4.986" Properties=species:S:1:pos:R:3 pbc="T T T"
Rh 0.000 0.000 2.493
Rh 2.493 0.000 0.000
Sr 0.000 0.000 0.000
Sn 2.493 3.027 2.493
Bi 0.000 3.027 0.000
```

Crystalline Sr2SnBi3Rh4 at its relaxed geometry. Source: Alexandria, functional GGA-PBE.

Calculated values
* DOS(E_F): 0.7810 states/eV/atom
* volume: 24.06 Å³ per atom
* formation enthalpy at 0 K: -0.47 eV/atom
* total energy: -53.10 eV per cell

extended XYZ file:
```
10
Lattice="4.647 0.000 0.000 0.000 4.647 0.000 0.000 0.000 11.141" Properties=species:S:1:pos:R:3 pbc="T T T"
Rh 0.000 0.000 0.000
Rh 2.324 2.324 0.000
Rh 2.324 0.000 6.983
Rh 0.000 2.324 4.158
Bi 0.000 2.324 1.451
Bi 2.324 0.000 9.690
Bi 0.000 0.000 5.571
Sr 0.000 2.324 8.360
Sr 2.324 0.000 2.781
Sn 2.324 2.324 5.571
```